# KRuRh

A relaxed structure of KRuRh (PBE, the Alexandria database).

## Properties
**ΔH_f (0 K)**: 0.70 eV per atom
**DFT total energy**: -5.21 eV/atom

```
data_KRuRh
_cell_length_a 8.010
_cell_length_b 4.408
_cell_length_c 7.053
_cell_angle_alpha 90.00
_cell_angle_beta 90.00
_cell_angle_gamma 90.00
_symmetry_space_group_name_H-M 'P n m a'
_symmetry_Int_Tables_number 62
loop_
_symmetry_equiv_pos_as_xyz
'x,y,z'
'-x,-y,-z'
'-x+1/2,-y,z+1/2'
'x+1/2,y,-z+1/2'
'x+1/2,-y+1/2,-z+1/2'
'-x+1/2,y+1/2,z+1/2'
'-x,y+1/2,-z'
'x,-y+1/2,z'
loop_
_atom_site_label
_atom_site_type_symbol
_atom_site_fract_x
_atom_site_fract_y
_atom_site_fract_z
K1 K 0.002 0.250 0.143
Ru1 Ru 0.151 0.750 0.419
Rh1 Rh 0.152 0.250 0.585
```